Compound: Ga2AgSbO6
Source: the Alexandria database
Functional: PBE-GGA
Structure: optimized geometry

Structure (POSCAR):
```
Ga2AgSbO6
1.0
-0.754 -3.629 4.793
2.515 -6.701 -2.155
5.067 2.241 5.017
O Sb Ga Ag
12 2 4 2
Cartesian
3.100 -1.721 5.398
2.321 -3.957 -0.247
2.305 -4.750 6.141
0.611 -2.746 4.978
4.523 -3.338 1.514
4.422 -4.187 4.685
6.217 -5.342 2.677
6.310 -5.509 6.395
4.507 -4.131 7.902
3.728 -6.367 2.257
2.407 -3.901 2.970
0.518 -2.579 1.260
4.371 -0.445 4.788
2.457 -7.643 2.867
2.482 -2.912 1.362
4.347 -5.176 6.294
2.472 -3.437 4.792
4.356 -4.651 2.863
4.251 -1.360 7.906
2.578 -6.728 -0.251
```

Calculated values
D(E_F): 0.0760 states/eV per atom
Space-group type: C2/c, No. 15
Energy relative to the elements, uncorrected: -1.272 eV/atom